GdMgSi after structural relaxation, computed with PBE-GGA.

Lattice parameters (Å, degrees): 3.783 4.509 4.509 120.00 90.00 90.00
Atoms (fractional coordinates):
Si (0.167, 0.333, 0.667)
Gd (0.667, 0.667, 0.333)
Mg (0.166, 0.000, 0.000)

Formation energy from raw total energies in eV per atom: -0.377
SG: No. 156

***

Li2Tb2SmIn2 after structural relaxation, computed with PBE-GGA.

Lattice parameters (Å, degrees): 4.893 4.893 9.278 74.71 74.71 60.00
Atoms (fractional coordinates):
Li (0.602, 0.602, 0.195)
Li (0.398, 0.398, 0.805)
Tb (0.128, 0.128, 0.616)
Tb (0.872, 0.872, 0.384)
Sm (0.000, 0.000, 0.000)
In (0.739, 0.739, 0.784)
In (0.261, 0.261, 0.216)

Formation enthalpy at 0 K in eV/atom: -0.234
SG: No. 166

***

YbHo2Se4 after structural relaxation, computed with PBE-GGA.

Lattice parameters (Å, degrees): 4.034 13.470 13.702 90.00 90.00 90.00
Atoms (fractional coordinates):
Yb (0.750, 0.131, 0.916)
Yb (0.750, 0.631, 0.584)
Yb (0.250, 0.869, 0.084)
Yb (0.250, 0.369, 0.416)
Ho (0.750, 0.393, 0.080)
Ho (0.750, 0.893, 0.420)
Ho (0.250, 0.607, 0.920)
Ho (0.250, 0.107, 0.580)
Ho (0.750, 0.352, 0.700)
Ho (0.750, 0.852, 0.800)
Ho (0.250, 0.648, 0.300)
Ho (0.250, 0.148, 0.200)
Se (0.750, 0.285, 0.263)
Se (0.750, 0.785, 0.237)
Se (0.250, 0.715, 0.737)
Se (0.250, 0.215, 0.763)
Se (0.750, 0.244, 0.521)
Se (0.750, 0.744, 0.979)
Se (0.250, 0.756, 0.479)
Se (0.250, 0.256, 0.021)
Se (0.750, 0.029, 0.115)
Se (0.750, 0.529, 0.385)
Se (0.250, 0.971, 0.885)
Se (0.250, 0.471, 0.615)
Se (0.750, 0.465, 0.880)
Se (0.750, 0.965, 0.620)
Se (0.250, 0.535, 0.120)
Se (0.250, 0.035, 0.380)

Formation energy from raw total energies in eV per atom: -1.909
SG: No. 62